(1)
## VOsI (PBE)

Data for crystalline VOsI at its relaxed geometry.

The structure belongs to space group Amm2 (No. 38); the cell edges are 11.730, 3.747 and 6.488 Å and the angles 90.00°, 90.00° and 90.00°. The distinct sites, in fractional coordinates, are V at (0.000, 0.000, 0.000), V at (0.500, 0.000, 0.008), Os at (0.393, 0.000, 0.674) and I at (0.235, 0.000, 0.007).

The formation energy (no corrections) comes out at 0.86 eV/atom.



(2)
## Mn5Co (PBE)

Data for crystalline Mn5Co at its relaxed geometry.

The structure belongs to space group P-62m (No. 189); the cell edges are 4.3112, 4.3112 and 3.9694 Å and the angles 90.00°, 90.00° and 120.00°. The distinct sites, in fractional coordinates, are Mn at (0.0000, 0.6677, 0.0000), Mn at (0.3333, 0.6667, 0.5000) and Co at (0.0000, 0.0000, 0.5000).

The calculation puts the energy of formation at 34 meV/atom. As for the energy above the most stable polymorph in this dataset: 4.12 kJ per mole of atoms.



(3)
## GaGe2BCl (PBE)

Data for crystalline GaGe2BCl at its relaxed geometry.

The structure belongs to space group P4/mmm (No. 123); the cell edges are 5.061, 5.061 and 4.032 Å and the angles 90.00°, 90.00° and 90.00°. The distinct sites, in fractional coordinates, are Ga at (0.000, 0.000, 0.000), Ge at (0.000, 0.500, 0.500), B at (0.500, 0.500, 0.000) and Cl at (0.500, 0.500, 0.500).

The formation energy (no corrections) comes out at 1.28 eV/atom.